Entry 1:
This record from Alexandria via LeMat-Bulk describes a relaxed Ag2BiMoCl crystal. The functional is GGA-PBE. Values from VASP.

Calculated values
DOS at the Fermi energy (states/eV per cell): 3.7
Formation energy (no corrections) (eV per formula unit): 4.85
E_tot (eV per atom): -3.48

The structure in Quantum ESPRESSO input format:
```
&SYSTEM
  ibrav = 0, nat = 5, ntyp = 4
/
ATOMIC_SPECIES
Ag 107.87 Ag.upf
Bi 208.98 Bi.upf
Mo 95.94 Mo.upf
Cl 35.45 Cl.upf
CELL_PARAMETERS angstrom
5.374 0.000 0.000
0.000 5.374 0.000
0.000 0.000 5.593
ATOMIC_POSITIONS angstrom
Ag 0.000 2.687 0.000
Ag 2.687 0.000 0.000
Bi 0.000 0.000 0.000
Mo 0.000 0.000 2.797
Cl 2.687 2.687 2.797
```

Entry 2:
This record from Alexandria via LeMat-Bulk describes a relaxed U2InN crystal. The functional is GGA-PBE. Values from VASP.

Calculated values
DOS at the Fermi energy (states/eV per cell): 22.6
Formation energy (no corrections) (eV per formula unit): -2.14
E_tot (eV per atom): -8.95

The structure in Quantum ESPRESSO input format:
```
&SYSTEM
  ibrav = 0, nat = 12, ntyp = 3
/
ATOMIC_SPECIES
U 238.03 U.upf
In 114.82 In.upf
N 14.01 N.upf
CELL_PARAMETERS angstrom
3.143 0.000 0.000
-1.572 2.722 0.000
0.000 0.000 26.454
ATOMIC_POSITIONS angstrom
U 0.000 0.000 5.936
U 0.000 0.000 20.518
U 0.000 1.815 11.700
U 0.000 1.815 23.573
U 1.572 0.907 2.882
U 1.572 0.907 14.755
In 0.000 0.000 0.000
In 0.000 1.815 17.636
In 1.572 0.907 8.818
N 0.000 0.000 13.227
N 0.000 1.815 4.409
N 1.572 0.907 22.045
```

Entry 3:
This record from Alexandria via LeMat-Bulk describes a relaxed Np2AlCu4Ge3 crystal. The functional is GGA-PBE. Values from VASP.

Calculated values
DOS at the Fermi energy (states/eV per cell): 20.1
E_tot (eV per atom): -6.15

The structure in Quantum ESPRESSO input format:
```
&SYSTEM
  ibrav = 0, nat = 10, ntyp = 4
/
ATOMIC_SPECIES
Np 237.00 Np.upf
Al 26.98 Al.upf
Cu 63.55 Cu.upf
Ge 72.64 Ge.upf
CELL_PARAMETERS angstrom
4.076 0.000 0.000
0.000 4.076 0.000
0.000 0.000 10.281
ATOMIC_POSITIONS angstrom
Np 0.000 2.038 2.493
Np 2.038 0.000 7.788
Al 0.000 0.000 5.141
Cu 0.000 0.000 0.000
Cu 0.000 2.038 6.523
Cu 2.038 0.000 3.758
Cu 2.038 2.038 0.000
Ge 0.000 2.038 8.888
Ge 2.038 0.000 1.393
Ge 2.038 2.038 5.141
```

Entry 4:
This record from Alexandria via LeMat-Bulk describes a relaxed LaZr3As crystal. The functional is GGA-PBE. Values from VASP.

Calculated values
DOS at the Fermi energy (states/eV per cell): 13.3
E_tot (eV per atom): -5.78

The structure in Quantum ESPRESSO input format:
```
&SYSTEM
  ibrav = 0, nat = 5, ntyp = 3
/
ATOMIC_SPECIES
La 138.91 La.upf
Zr 91.22 Zr.upf
As 74.92 As.upf
CELL_PARAMETERS angstrom
5.123 0.000 0.000
0.000 5.123 0.000
0.000 0.000 5.123
ATOMIC_POSITIONS angstrom
La 0.000 0.000 0.000
Zr 0.000 0.000 2.562
Zr 0.000 2.562 0.000
Zr 2.562 0.000 0.000
As 2.562 2.562 2.562
```

Entry 5:
This record from Alexandria via LeMat-Bulk describes a relaxed CrIrCl2 crystal. The functional is GGA-PBE. Values from VASP.

Calculated values
DOS at the Fermi energy (states/eV per cell): 14.5
Formation energy (no corrections) (eV per formula unit): 1.57
E_tot (eV per atom): -5.15

The structure in Quantum ESPRESSO input format:
```
&SYSTEM
  ibrav = 0, nat = 12, ntyp = 3
/
ATOMIC_SPECIES
Cr 52.00 Cr.upf
Ir 192.22 Ir.upf
Cl 35.45 Cl.upf
CELL_PARAMETERS angstrom
2.914 0.000 0.000
-1.457 2.523 0.000
0.000 0.000 29.523
ATOMIC_POSITIONS angstrom
Cr 0.000 0.000 0.000
Cr 0.000 1.682 19.682
Cr 1.457 0.841 9.841
Ir 0.000 0.000 14.762
Ir 0.000 1.682 4.921
Ir 1.457 0.841 24.603
Cl 0.000 0.000 8.237
Cl 0.000 0.000 21.287
Cl 0.000 1.682 11.446
Cl 0.000 1.682 27.919
Cl 1.457 0.841 1.605
Cl 1.457 0.841 18.078
```

Entry 6:
This record from Alexandria via LeMat-Bulk describes a relaxed LiMo2AuN crystal. The functional is GGA-PBE. Values from VASP.

Calculated values
DOS at the Fermi energy (states/eV per cell): 3.3
Formation energy (no corrections) (eV per formula unit): -0.89
E_tot (eV per atom): -7.21

The structure in Quantum ESPRESSO input format:
```
&SYSTEM
  ibrav = 0, nat = 5, ntyp = 4
/
ATOMIC_SPECIES
Li 6.94 Li.upf
Mo 95.94 Mo.upf
Au 196.97 Au.upf
N 14.01 N.upf
CELL_PARAMETERS angstrom
4.047 0.000 0.000
0.000 4.047 0.000
0.000 0.000 4.210
ATOMIC_POSITIONS angstrom
Li 0.000 0.000 0.000
Mo 0.000 2.023 2.105
Mo 2.023 0.000 2.105
Au 2.023 2.023 0.000
N 0.000 0.000 2.105
```

Entry 7:
This record from Alexandria via LeMat-Bulk describes a relaxed La2BeInIr crystal. The functional is GGA-PBE. Values from VASP.

Calculated values
DOS at the Fermi energy (states/eV per cell): 3.6
E_tot (eV per atom): -5.39

The structure in Quantum ESPRESSO input format:
```
&SYSTEM
  ibrav = 0, nat = 5, ntyp = 4
/
ATOMIC_SPECIES
La 138.91 La.upf
Be 9.01 Be.upf
In 114.82 In.upf
Ir 192.22 Ir.upf
CELL_PARAMETERS angstrom
5.592 0.000 0.000
0.000 5.592 0.000
0.000 0.000 4.412
ATOMIC_POSITIONS angstrom
La 0.000 2.796 0.000
La 2.796 0.000 0.000
Be 0.000 0.000 2.206
In 2.796 2.796 2.206
Ir 0.000 0.000 0.000
```

Entry 8:
This record from Alexandria via LeMat-Bulk describes a relaxed LiCuSn crystal. The functional is GGA-PBE. Values from VASP.

Calculated values
DOS at the Fermi energy (states/eV per cell): 10.9
E_tot (eV per atom): -3.47

The structure in Quantum ESPRESSO input format:
```
&SYSTEM
  ibrav = 0, nat = 12, ntyp = 3
/
ATOMIC_SPECIES
Li 6.94 Li.upf
Cu 63.55 Cu.upf
Sn 118.71 Sn.upf
CELL_PARAMETERS angstrom
6.107 0.000 0.000
0.000 6.107 0.000
0.000 0.000 6.107
ATOMIC_POSITIONS angstrom
Li 0.000 0.000 0.000
Li 0.000 3.053 3.053
Li 3.053 0.000 3.053
Li 3.053 3.053 0.000
Cu 1.527 1.527 4.580
Cu 1.527 4.580 1.527
Cu 4.580 1.527 1.527
Cu 4.580 4.580 4.580
Sn 0.000 0.000 3.053
Sn 0.000 3.053 0.000
Sn 3.053 0.000 0.000
Sn 3.053 3.053 3.053
```

Entry 9:
This record from Alexandria via LeMat-Bulk describes a relaxed Ac2Cd5Ag5 crystal. The functional is GGA-PBE. Values from VASP.

Calculated values
DOS at the Fermi energy (states/eV per cell): 5.9
E_tot (eV per atom): -2.46

The structure in Quantum ESPRESSO input format:
```
&SYSTEM
  ibrav = 0, nat = 12, ntyp = 3
/
ATOMIC_SPECIES
Ac 227.00 Ac.upf
Cd 112.41 Cd.upf
Ag 107.87 Ag.upf
CELL_PARAMETERS angstrom
4.632 0.000 0.000
0.000 5.979 0.000
0.000 0.000 10.487
ATOMIC_POSITIONS angstrom
Ac 0.000 0.000 0.000
Ac 0.000 2.989 5.243
Cd 0.000 0.000 3.422
Cd 0.000 0.000 7.064
Cd 0.000 2.989 1.736
Cd 0.000 2.989 8.751
Cd 2.316 0.000 5.243
Ag 2.316 1.510 2.612
Ag 2.316 1.510 7.875
Ag 2.316 2.989 0.000
Ag 2.316 4.468 2.612
Ag 2.316 4.468 7.875
```

Entry 10:
This record from Alexandria via LeMat-Bulk describes a relaxed Dy4ZnHg5 crystal. The functional is GGA-PBE. Values from VASP.

Calculated values
DOS at the Fermi energy (states/eV per cell): 7.6
E_tot (eV per atom): -2.53

The structure in Quantum ESPRESSO input format:
```
&SYSTEM
  ibrav = 0, nat = 10, ntyp = 3
/
ATOMIC_SPECIES
Dy 162.50 Dy.upf
Zn 65.41 Zn.upf
Hg 200.59 Hg.upf
CELL_PARAMETERS angstrom
7.821 -2.566 0.000
7.821 2.566 0.000
-1.546 0.000 6.117
ATOMIC_POSITIONS angstrom
Dy 0.908 0.000 2.113
Dy 4.586 0.000 1.152
Dy 9.510 0.000 4.965
Dy 13.188 0.000 4.005
Zn 7.048 0.000 3.059
Hg 0.274 0.000 5.275
Hg 3.487 0.000 4.075
Hg 7.821 0.000 0.000
Hg 10.609 0.000 2.043
Hg 13.822 0.000 0.842
```

Entry 11:
This record from Alexandria via LeMat-Bulk describes a relaxed SiCF crystal. The functional is GGA-PBE. Values from VASP.

Calculated values
DOS at the Fermi energy (states/eV per cell): 0.0
Formation energy (no corrections) (eV per formula unit): -3.29
E_tot (eV per atom): -6.60

The structure in Quantum ESPRESSO input format:
```
&SYSTEM
  ibrav = 0, nat = 12, ntyp = 3
/
ATOMIC_SPECIES
Si 28.09 Si.upf
C 12.01 C.upf
F 19.00 F.upf
CELL_PARAMETERS angstrom
7.656 0.000 0.000
0.000 3.109 0.000
-1.438 0.000 7.043
ATOMIC_POSITIONS angstrom
Si 0.786 0.000 2.580
Si 1.604 1.555 4.464
Si 4.614 1.555 2.580
Si 5.432 0.000 4.464
C 0.026 1.555 3.313
C 2.365 0.000 3.730
C 3.854 0.000 3.313
C 6.193 1.555 3.730
F 1.080 0.000 0.999
F 1.310 1.555 6.045
F 4.908 1.555 0.999
F 5.138 0.000 6.045
```

Entry 12:
This record from Alexandria via LeMat-Bulk describes a relaxed Ca3UPa2P6 crystal. The functional is GGA-PBE. Values from VASP.

Calculated values
DOS at the Fermi energy (states/eV per cell): 14.1
E_tot (eV per atom): -6.91

The structure in Quantum ESPRESSO input format:
```
&SYSTEM
  ibrav = 0, nat = 12, ntyp = 4
/
ATOMIC_SPECIES
Ca 40.08 Ca.upf
U 238.03 U.upf
Pa 231.04 Pa.upf
P 30.97 P.upf
CELL_PARAMETERS angstrom
3.509 -6.076 0.000
3.509 6.076 0.000
-2.339 0.000 6.638
ATOMIC_POSITIONS angstrom
Ca 0.000 0.000 0.000
Ca 3.509 2.029 0.000
Ca 3.509 -2.029 0.000
U 2.339 0.000 3.319
Pa 2.339 4.051 3.319
Pa 2.339 -4.051 3.319
P 1.167 2.031 1.793
P -0.005 0.000 4.847
P 1.167 -2.031 1.793
P 3.512 2.031 4.846
P 4.684 0.000 1.791
P 3.512 -2.031 4.846
```

Which of these has the lowest E_tot? U2InN

What is the DOS at the Fermi energy in the eleventh record? 0.0 states/eV per cell

Look up the DOS at the Fermi energy of the seventh one. 3.6 states/eV per cell